First-principles (PBE) data for an optimized crystal structure of FeMo2Rh, as listed in Alexandria.

## Properties
Formation energy from the elements, eV/atom: 0.01
Volume, Å³/cell: 57
Magnetic moment, μB per atom: 0.284

```
FeMo2Rh
1.0
4.728 -0.047 0.000
-1.610 4.446 0.000
0.000 0.000 2.711
Fe Rh Mo
1 1 2
direct
0.000 0.500 0.500
0.500 0.000 0.500
0.500 0.500 0.000
0.000 0.000 0.000
```